1.
# Ni3AuN | the Alexandria database | PBE-GGA | optimized geometry
data_Ni3AuN
_chemical_formula_sum 'Ni6 Au2 N2'
_symmetry_space_group_name_H-M 'P m m a'
_symmetry_Int_Tables_number 51
_symmetry_space_group_name_Hall '-P 2a 2a'
_cell_length_a 3.880
_cell_length_b 3.719
_cell_length_c 7.910
_cell_angle_alpha 90.00
_cell_angle_beta 90.00
_cell_angle_gamma 90.00
loop_
_atom_site_label
_atom_site_type_symbol
_atom_site_fract_x
_atom_site_fract_y
_atom_site_fract_z
Ni1 Ni 0.250 0.000 0.120
Ni2 Ni 0.250 0.000 0.627
Ni3 Ni 0.250 0.500 0.876
Au1 Au 0.250 0.500 0.371
N1 N 0.250 0.000 0.862
# Uncorrected energy, eV per formula unit: -28.6
# Spin magnetization, μB/f.u.: 0.0
# Fermi-level density of states, states/eV/cell: 9.03
# Crystal system: orthorhombic


2.
# Ni3AuN | the Alexandria database | PBE-GGA | optimized geometry
data_Ni3AuN
_chemical_formula_sum 'Ni9 Au3 N3'
_symmetry_space_group_name_H-M 'R 3 m'
_symmetry_Int_Tables_number 160
_symmetry_space_group_name_Hall 'R 3 -2"'
_cell_length_a 6.8225
_cell_length_b 6.8225
_cell_length_c 5.1748
_cell_angle_alpha 90.00
_cell_angle_beta 90.00
_cell_angle_gamma 120.00
loop_
_atom_site_label
_atom_site_type_symbol
_atom_site_fract_x
_atom_site_fract_y
_atom_site_fract_z
Ni1 Ni 0.2051 0.4101 0.0000
Au1 Au 0.0000 0.0000 0.8892
N1 N 0.0000 0.0000 0.4974
# Uncorrected energy, eV per formula unit: -26.6
# Spin magnetization, μB/f.u.: 0.0
# Fermi-level density of states, states/eV/cell: 7.88
# Crystal system: trigonal


3.
# Ni3AuN | the Alexandria database | PBE-GGA | optimized geometry
data_Ni3AuN
_chemical_formula_sum 'Ni12 Au4 N4'
_symmetry_space_group_name_H-M 'C m c m'
_symmetry_Int_Tables_number 63
_symmetry_space_group_name_Hall '-C 2c 2'
_cell_length_a 4.854
_cell_length_b 11.852
_cell_length_c 4.652
_cell_angle_alpha 90.00
_cell_angle_beta 90.00
_cell_angle_gamma 90.00
loop_
_atom_site_label
_atom_site_type_symbol
_atom_site_fract_x
_atom_site_fract_y
_atom_site_fract_z
Ni1 Ni 0.000 0.000 0.000
Ni2 Ni 0.242 0.286 0.250
Au1 Au 0.000 0.414 0.750
N1 N 0.000 0.113 0.750
# Uncorrected energy, eV per formula unit: -27.3
# Spin magnetization, μB/f.u.: 0.0
# Fermi-level density of states, states/eV/cell: 11.26
# Crystal system: orthorhombic


4.
# NiAu2N | the Alexandria database | PBE-GGA | optimized geometry
data_NiAu2N
_chemical_formula_sum 'Ni4 Au8 N4'
_symmetry_space_group_name_H-M 'I -4 2 d'
_symmetry_Int_Tables_number 122
_symmetry_space_group_name_Hall 'I -4 2bw'
_cell_length_a 4.852
_cell_length_b 4.852
_cell_length_c 12.316
_cell_angle_alpha 90.00
_cell_angle_beta 90.00
_cell_angle_gamma 90.00
loop_
_atom_site_label
_atom_site_type_symbol
_atom_site_fract_x
_atom_site_fract_y
_atom_site_fract_z
Ni1 Ni 0.000 0.000 0.000
Au1 Au 0.144 0.250 0.625
N1 N 0.000 0.000 0.500
# Uncorrected energy, eV per formula unit: -15.9
# Spin magnetization, μB/f.u.: 1.0
# Fermi-level density of states, states/eV/cell: 40.21
# Crystal system: tetragonal


5.
# Ni3AuN | the Alexandria database | PBE-GGA | optimized geometry
data_Ni3AuN
_chemical_formula_sum 'Ni6 Au2 N2'
_symmetry_space_group_name_H-M 'P 63/m m c'
_symmetry_Int_Tables_number 194
_symmetry_space_group_name_Hall '-P 6c 2c'
_cell_length_a 3.1768
_cell_length_b 3.1768
_cell_length_c 14.7483
_cell_angle_alpha 90.00
_cell_angle_beta 90.00
_cell_angle_gamma 120.00
loop_
_atom_site_label
_atom_site_type_symbol
_atom_site_fract_x
_atom_site_fract_y
_atom_site_fract_z
Ni1 Ni 0.0000 0.0000 0.2500
Ni2 Ni 0.3333 0.6667 0.1278
Au1 Au 0.0000 0.0000 0.0000
N1 N 0.3333 0.6667 0.2500
# Uncorrected energy, eV per formula unit: -27.8
# Spin magnetization, μB/f.u.: 0.0
# Fermi-level density of states, states/eV/cell: 7.69
# Crystal system: hexagonal


6.
# Ni3AuN | the Alexandria database | PBE-GGA | optimized geometry
data_Ni3AuN
_chemical_formula_sum 'Ni12 Au4 N4'
_symmetry_space_group_name_H-M 'C 1 2/m 1'
_symmetry_Int_Tables_number 12
_symmetry_space_group_name_Hall '-C 2y'
_cell_length_a 14.152
_cell_length_b 2.723
_cell_length_c 6.543
_cell_angle_alpha 90.00
_cell_angle_beta 99.62
_cell_angle_gamma 90.00
loop_
_atom_site_label
_atom_site_type_symbol
_atom_site_fract_x
_atom_site_fract_y
_atom_site_fract_z
Ni1 Ni 0.027 0.000 0.197
Ni2 Ni 0.105 0.000 0.556
Ni3 Ni 0.212 0.500 0.329
Au1 Au 0.159 0.000 0.949
N1 N 0.088 0.500 0.362
# Uncorrected energy, eV per formula unit: -27.8
# Spin magnetization, μB/f.u.: 0.0
# Fermi-level density of states, states/eV/cell: 17.76
# Crystal system: monoclinic


7.
# Ni3AuN | the Alexandria database | PBE-GGA | optimized geometry
data_Ni3AuN
_chemical_formula_sum 'Ni6 Au2 N2'
_symmetry_space_group_name_H-M 'P 1 21/m 1'
_symmetry_Int_Tables_number 11
_symmetry_space_group_name_Hall '-P 2yb'
_cell_length_a 2.767
_cell_length_b 6.623
_cell_length_c 6.902
_cell_angle_alpha 90.00
_cell_angle_beta 101.43
_cell_angle_gamma 90.00
loop_
_atom_site_label
_atom_site_type_symbol
_atom_site_fract_x
_atom_site_fract_y
_atom_site_fract_z
Ni1 Ni 0.125 0.067 0.247
Ni2 Ni 0.221 0.750 0.442
Au1 Au 0.446 0.250 0.896
N1 N 0.350 0.750 0.703
# Uncorrected energy, eV per formula unit: -28.0
# Spin magnetization, μB/f.u.: 0.0
# Fermi-level density of states, states/eV/cell: 6.20
# Crystal system: monoclinic


8.
# Ni3AuN | the Alexandria database | PBE-GGA | optimized geometry
data_Ni3AuN
_chemical_formula_sum 'Ni6 Au2 N2'
_symmetry_space_group_name_H-M 'P 63/m m c'
_symmetry_Int_Tables_number 194
_symmetry_space_group_name_Hall '-P 6c 2c'
_cell_length_a 4.2631
_cell_length_b 4.2631
_cell_length_c 7.4515
_cell_angle_alpha 90.00
_cell_angle_beta 90.00
_cell_angle_gamma 120.00
loop_
_atom_site_label
_atom_site_type_symbol
_atom_site_fract_x
_atom_site_fract_y
_atom_site_fract_z
Ni1 Ni 0.0000 0.0000 0.2500
Ni2 Ni 0.3333 0.6667 0.0857
Au1 Au 0.3333 0.6667 0.7500
N1 N 0.0000 0.0000 0.0000
# Uncorrected energy, eV per formula unit: -26.2
# Spin magnetization, μB/f.u.: 1.7
# Fermi-level density of states, states/eV/cell: 8.66
# Crystal system: hexagonal


> Which of these has the highest spin magnetization?

number 8


Repeat the seventh record exactly.
# Ni3AuN | the Alexandria database | PBE-GGA | optimized geometry
data_Ni3AuN
_chemical_formula_sum 'Ni6 Au2 N2'
_symmetry_space_group_name_H-M 'P 1 21/m 1'
_symmetry_Int_Tables_number 11
_symmetry_space_group_name_Hall '-P 2yb'
_cell_length_a 2.767
_cell_length_b 6.623
_cell_length_c 6.902
_cell_angle_alpha 90.00
_cell_angle_beta 101.43
_cell_angle_gamma 90.00
loop_
_atom_site_label
_atom_site_type_symbol
_atom_site_fract_x
_atom_site_fract_y
_atom_site_fract_z
Ni1 Ni 0.125 0.067 0.247
Ni2 Ni 0.221 0.750 0.442
Au1 Au 0.446 0.250 0.896
N1 N 0.350 0.750 0.703
# Uncorrected energy, eV per formula unit: -28.0
# Spin magnetization, μB/f.u.: 0.0
# Fermi-level density of states, states/eV/cell: 6.20
# Crystal system: monoclinic